# PmNp3S4

An optimized crystal structure of PmNp3S4 (GGA-PBE, the Alexandria database).

## Properties
- Raw formation energy: -1504 meV per atom
- SG: Cmmm, No. 65
- Calculated total energy: -72.115 eV per cell
- Density of states at the Fermi level: 3.35 states/eV per atom

Cell and atoms, written as POSCAR:
```
PmNp3S4
1.0
3.929 -5.587 0.000
3.929 5.587 0.000
0.000 0.000 3.941
Pm Np S
1 3 4
direct
0.000 0.000 0.000
0.000 0.500 0.500
0.500 0.000 0.500
0.500 0.500 0.000
0.252 0.748 0.000
0.257 0.257 0.500
0.743 0.743 0.500
0.748 0.252 0.000
```